DFT (PBE) results for TlSb2Rh after structural relaxation.

## Properties
- Symmetry: Pmmm (47)
- Total magnetization: 0.00 μB per cell
- Uncorrected formation energy: 0.285 eV/atom
- E: -4.21 eV/atom
- DOS(E_F): 2.53 states/eV per cell
- E above lowest polymorph: 478 meV per atom
- Crystal system: orthorhombic

a = 4.3318 Å, b = 4.3813 Å, c = 4.8980 Å
α = 90.00°, β = 90.00°, γ = 90.00°
Last column: nearest neighbours and their distance in Å.
Fractional positions:
Tl: 0.0000 0.0000 0.0000  4 Rh 3.08, 8 Sb 3.27-3.29
Sb: 0.0000 0.5000 0.5000  4 Sb 3.08, 4 Rh 3.27, 4 Tl 3.29
Sb: 0.5000 0.0000 0.5000  4 Sb 3.08, 4 Tl 3.27, 4 Rh 3.29
Rh: 0.5000 0.5000 0.0000  4 Tl 3.08, 8 Sb 3.27-3.29



DFT (PBE) results for Sm2Ni3Ge4Au after structural relaxation.

## Properties
- Symmetry: P-4m2 (115)
- Total magnetization: 0.00 μB per cell
- ΔH_f (0 K): -6.62 eV per formula unit
- E: -5.51 eV/atom
- DOS(E_F): 5.63 states/eV per cell
- Crystal system: tetragonal

a = 4.2005 Å, b = 4.2005 Å, c = 9.8877 Å
α = 90.00°, β = 90.00°, γ = 90.00°
Last column: nearest neighbours and their distance in Å.
Fractional positions:
Sm: 0.0000 0.5000 0.2427  8 Ge 3.16-3.19, 6 Ni 3.22-3.30, 2 Au 3.30
Sm: 0.5000 0.0000 0.7573  8 Ge 3.16-3.19, 6 Ni 3.22-3.30, 2 Au 3.30
Ni: 0.0000 0.5000 0.8839  5 Ge 2.34-2.39
Ni: 0.5000 0.0000 0.1161  5 Ge 2.34-2.39
Ni: 0.5000 0.5000 0.5000  4 Ge 2.56
Ge: 0.0000 0.0000 0.0000  4 Ni 2.39
Ge: 0.0000 0.5000 0.6472  3 Ni 2.34-2.56, 2 Au 2.56
Ge: 0.5000 0.0000 0.3528  3 Ni 2.34-2.56, 2 Au 2.56
Ge: 0.5000 0.5000 0.0000  4 Ni 2.39
Au: 0.0000 0.0000 0.5000  4 Ge 2.56



DFT (PBE) results for Ce2U3O10 after structural relaxation.

## Properties
- Symmetry: C2/m (12)
- Total magnetization: 6.02 μB per cell
- Uncorrected formation energy: -3.407 eV/atom
- E: -9.76 eV/atom
- DOS(E_F): 23.58 states/eV per cell
- Crystal system: monoclinic

a = 6.6608 Å, b = 6.6608 Å, c = 8.5770 Å
α = 130.06°, β = 130.06°, γ = 48.22°
Last column: nearest neighbours and their distance in Å.
Fractional positions:
Ce: 0.1991 0.1991 0.2992  8 O 2.39-2.41
Ce: 0.8009 0.8009 0.7008  8 O 2.39-2.41
U: 0.0000 0.0000 0.5000  8 O 2.30-2.36
U: 0.3999 0.3999 0.1000  8 O 2.32-2.34
U: 0.6001 0.6001 0.9000  8 O 2.32-2.34
O: 0.0443 0.5555 0.1950  3 U 2.32-2.36, 1 Ce 2.40
O: 0.1579 0.6580 0.6030  2 U 2.30-2.33, 2 Ce 2.40-2.41
O: 0.2615 0.7385 0.0000  2 U 2.32, 2 Ce 2.39, 1 O 2.60
O: 0.3420 0.8421 0.3970  2 U 2.30-2.33, 2 Ce 2.40-2.41
O: 0.4445 0.9557 0.8050  3 U 2.32-2.36, 1 Ce 2.40
O: 0.5555 0.0443 0.1950  3 U 2.32-2.36, 1 Ce 2.40
O: 0.6580 0.1579 0.6030  2 U 2.30-2.33, 2 Ce 2.40-2.41
O: 0.7385 0.2615 0.0000  2 U 2.32, 2 Ce 2.39, 1 O 2.60
O: 0.8421 0.3420 0.3970  2 U 2.30-2.33, 2 Ce 2.40-2.41
O: 0.9557 0.4445 0.8050  3 U 2.32-2.36, 1 Ce 2.40



DFT (PBE) results for Zn3IrPd2 after structural relaxation.

## Properties
- Symmetry: P4/mmm (123)
- Total magnetization: 0.00 μB per cell
- ΔH_f (0 K): -2.60 eV per formula unit
- E: -4.28 eV/atom
- DOS(E_F): 2.56 states/eV per cell
- Crystal system: tetragonal

a = 3.0703 Å, b = 3.0703 Å, c = 9.0786 Å
α = 90.00°, β = 90.00°, γ = 90.00°
Last column: nearest neighbours and their distance in Å.
Fractional positions:
Zn: 0.0000 0.0000 0.0000  8 Pd 2.64
Zn: 0.0000 0.0000 0.3384  4 Ir 2.62, 4 Pd 2.68
Zn: 0.0000 0.0000 0.6616  4 Ir 2.62, 4 Pd 2.68
Ir: 0.5000 0.5000 0.5000  8 Zn 2.62
Pd: 0.5000 0.5000 0.1662  8 Zn 2.64-2.68
Pd: 0.5000 0.5000 0.8338  8 Zn 2.64-2.68



DFT (PBE) results for KMn4Tl after structural relaxation.

## Properties
- Symmetry: F-43m (216)
- Total magnetization: 14.71 μB per cell
- ΔH_f (0 K): 4.61 eV per formula unit
- E: -5.92 eV/atom
- DOS(E_F): 5.52 states/eV per cell
- Crystal system: cubic

a = 5.5300 Å, b = 5.5300 Å, c = 5.5300 Å
α = 60.00°, β = 60.00°, γ = 60.00°
Last column: nearest neighbours and their distance in Å.
Fractional positions:
K: 0.0000 0.0000 0.0000  12 Mn 3.25, 4 Tl 3.39
Mn: 0.1296 0.6235 0.6235  6 Mn 2.73-2.80
Mn: 0.6235 0.1296 0.6235  6 Mn 2.73-2.80
Mn: 0.6235 0.6235 0.1296  6 Mn 2.73-2.80
Mn: 0.6235 0.6235 0.6235  6 Mn 2.73-2.80
Tl: 0.2500 0.2500 0.2500  12 Mn 3.24, 4 K 3.39



DFT (PBE) results for GaAg3Ge after structural relaxation.

## Properties
- Symmetry: Pm-3m (221)
- Total magnetization: 0.00 μB per cell
- ΔH_f (0 K): 2.72 eV per formula unit
- E: -2.70 eV/atom
- DOS(E_F): 1.61 states/eV per cell
- E above lowest polymorph: 164 meV per atom
- Crystal system: cubic

a = 4.8579 Å, b = 4.8579 Å, c = 4.8579 Å
α = 90.00°, β = 90.00°, γ = 90.00°
Last column: nearest neighbours and their distance in Å.
Fractional positions:
Ga: 0.0000 0.0000 0.0000  6 Ag 2.43
Ag: 0.0000 0.0000 0.5000  2 Ga 2.43
Ag: 0.0000 0.5000 0.0000  2 Ga 2.43
Ag: 0.5000 0.0000 0.0000  2 Ga 2.43
Ge: 0.5000 0.5000 0.5000  12 Ag 3.44



DFT (PBE) results for BaBi3W after structural relaxation.

## Properties
- Symmetry: Pm-3m (221)
- Total magnetization: 4.02 μB per cell
- ΔH_f (0 K): 10.31 eV per formula unit
- E: -3.24 eV/atom
- DOS(E_F): 5.40 states/eV per cell
- E above lowest polymorph: 1791 meV per atom
- Crystal system: cubic

a = 6.2042 Å, b = 6.2042 Å, c = 6.2042 Å
α = 90.00°, β = 90.00°, γ = 90.00°
Last column: nearest neighbours and their distance in Å.
Fractional positions:
Ba: 0.0000 0.0000 0.0000  6 Bi 3.10
Bi: 0.0000 0.0000 0.5000  2 Ba 3.10
Bi: 0.0000 0.5000 0.0000  2 Ba 3.10
Bi: 0.5000 0.0000 0.0000  2 Ba 3.10
W: 0.5000 0.5000 0.5000  12 Bi 4.39



DFT (PBE) results for Mg6Sn3Pd after structural relaxation.

## Properties
- Symmetry: Pnnm (58)
- Total magnetization: 0.00 μB per cell
- ΔH_f (0 K): -2.17 eV per formula unit
- E: -2.89 eV/atom
- DOS(E_F): 7.54 states/eV per cell
- Crystal system: orthorhombic

a = 10.0095 Å, b = 10.1274 Å, c = 4.6542 Å
α = 90.00°, β = 90.00°, γ = 90.00°
Last column: nearest neighbours and their distance in Å.
Fractional positions:
Mg: 0.0241 0.1437 0.0000  2 Pd 2.76, 1 Mg 2.95
Mg: 0.0369 0.6636 0.5000  3 Sn 2.88-3.09, 3 Mg 2.96-3.10
Mg: 0.2400 0.8761 0.5000  1 Pd 2.71, 1 Sn 2.89, 1 Mg 2.96
Mg: 0.2600 0.3761 0.0000  1 Pd 2.71, 1 Sn 2.89, 1 Mg 2.96
Mg: 0.4631 0.1636 0.0000  3 Sn 2.88-3.09, 3 Mg 2.96-3.10
Mg: 0.4759 0.6437 0.5000  2 Pd 2.76, 1 Mg 2.95
Mg: 0.5241 0.3563 0.5000  2 Pd 2.76, 1 Mg 2.95
Mg: 0.5369 0.8364 0.0000  3 Sn 2.88-3.09, 3 Mg 2.96-3.10
Mg: 0.7400 0.6239 0.0000  1 Pd 2.71, 1 Sn 2.89, 1 Mg 2.96
Mg: 0.7600 0.1239 0.5000  1 Pd 2.71, 1 Sn 2.89, 1 Mg 2.96
Mg: 0.9631 0.3364 0.5000  3 Sn 2.88-3.09, 3 Mg 2.96-3.10
Mg: 0.9759 0.8563 0.0000  2 Pd 2.76, 1 Mg 2.95
Sn: 0.0000 0.5000 0.0000  6 Mg 2.88-2.89
Sn: 0.2267 0.1770 0.5000  1 Pd 2.89, 6 Mg 3.05-3.11
Sn: 0.2733 0.6770 0.0000  1 Pd 2.89, 6 Mg 3.05-3.11
Sn: 0.5000 0.0000 0.5000  6 Mg 2.88-2.89
Sn: 0.7267 0.3230 0.0000  1 Pd 2.89, 6 Mg 3.05-3.11
Sn: 0.7733 0.8230 0.5000  1 Pd 2.89, 6 Mg 3.05-3.11
Pd: 0.0000 0.0000 0.5000  6 Mg 2.71-2.76, 2 Sn 2.89
Pd: 0.5000 0.5000 0.0000  6 Mg 2.71-2.76, 2 Sn 2.89



DFT (PBE) results for Li2HgC after structural relaxation.

## Properties
- Symmetry: Fm-3m (225)
- Total magnetization: 0.00 μB per cell
- ΔH_f (0 K): 2.97 eV per formula unit
- E: -2.60 eV/atom
- DOS(E_F): 6.94 states/eV per cell
- E above lowest polymorph: 224 meV per atom
- Crystal system: cubic

a = 5.9344 Å, b = 5.9344 Å, c = 5.9344 Å
α = 90.00°, β = 90.00°, γ = 90.00°
Last column: nearest neighbours and their distance in Å.
Fractional positions:
Li: 0.2500 0.2500 0.2500  4 Hg 2.57, 4 C 2.57
Li: 0.2500 0.2500 0.7500  4 Hg 2.57, 4 C 2.57
Li: 0.2500 0.7500 0.2500  4 Hg 2.57, 4 C 2.57
Li: 0.2500 0.7500 0.7500  4 Hg 2.57, 4 C 2.57
Li: 0.7500 0.2500 0.2500  4 Hg 2.57, 4 C 2.57
Li: 0.7500 0.2500 0.7500  4 Hg 2.57, 4 C 2.57
Li: 0.7500 0.7500 0.2500  4 Hg 2.57, 4 C 2.57
Li: 0.7500 0.7500 0.7500  4 C 2.57, 4 Hg 2.57
Hg: 0.0000 0.0000 0.0000  8 Li 2.57
Hg: 0.0000 0.5000 0.5000  8 Li 2.57
Hg: 0.5000 0.0000 0.5000  8 Li 2.57
Hg: 0.5000 0.5000 0.0000  8 Li 2.57
C: 0.0000 0.0000 0.5000  8 Li 2.57
C: 0.0000 0.5000 0.0000  8 Li 2.57
C: 0.5000 0.0000 0.0000  8 Li 2.57
C: 0.5000 0.5000 0.5000  8 Li 2.57



DFT (PBE) results for EuTmTlRh after structural relaxation.

## Properties
- Symmetry: F-43m (216)
- Total magnetization: 27.73 μB per cell
- ΔH_f (0 K): -1.46 eV per formula unit
- E: -6.48 eV/atom
- DOS(E_F): 34.22 states/eV per cell
- Crystal system: cubic

a = 7.2902 Å, b = 7.2902 Å, c = 7.2902 Å
α = 90.00°, β = 90.00°, γ = 90.00°
Last column: nearest neighbours and their distance in Å.
Fractional positions:
Eu: 0.0000 0.0000 0.0000  4 Rh 3.16, 4 Tl 3.16
Eu: 0.0000 0.5000 0.5000  4 Rh 3.16, 4 Tl 3.16
Eu: 0.5000 0.0000 0.5000  4 Rh 3.16, 4 Tl 3.16
Eu: 0.5000 0.5000 0.0000  4 Rh 3.16, 4 Tl 3.16
Tm: 0.0000 0.0000 0.5000  4 Tl 3.16, 4 Rh 3.16
Tm: 0.0000 0.5000 0.0000  4 Tl 3.16, 4 Rh 3.16
Tm: 0.5000 0.0000 0.0000  4 Tl 3.16, 4 Rh 3.16
Tm: 0.5000 0.5000 0.5000  4 Tl 3.16, 4 Rh 3.16
Tl: 0.2500 0.2500 0.2500  4 Tm 3.16, 4 Eu 3.16
Tl: 0.2500 0.7500 0.7500  4 Tm 3.16, 4 Eu 3.16
Tl: 0.7500 0.2500 0.7500  4 Tm 3.16, 4 Eu 3.16
Tl: 0.7500 0.7500 0.2500  4 Tm 3.16, 4 Eu 3.16
Rh: 0.2500 0.2500 0.7500  4 Tm 3.16, 4 Eu 3.16
Rh: 0.2500 0.7500 0.2500  4 Tm 3.16, 4 Eu 3.16
Rh: 0.7500 0.2500 0.2500  4 Tm 3.16, 4 Eu 3.16
Rh: 0.7500 0.7500 0.7500  4 Eu 3.16, 4 Tm 3.16